Compound: VO
Source: Alexandria
Functional: GGA-PBEsol
Structure: optimized geometry

Cell and atoms, written as POSCAR:
```
VO
1.0
2.9199 0.0000 0.0000
1.4599 2.5287 0.0000
1.4599 0.8429 2.3841
V O
1 1
direct
0.0000 0.0000 0.0000
0.5000 0.5000 0.5000
```

Computed properties:
- Formation energy from raw total energies: -1521.6 meV/atom
- ρ: 6.31 g/cm3


Compound: VWO4
Source: Alexandria
Functional: GGA-PBEsol
Structure: optimized geometry

Cell and atoms, written as POSCAR:
```
VWO4
1.0
-3.8747 2.2143 1.1359
-2.6799 -3.8489 -1.3018
0.7309 -3.9696 10.2319
W O V
4 16 4
direct
0.5000 0.5000 0.6766
0.0000 0.0000 0.8125
0.5000 0.0000 0.3234
0.0000 0.5000 0.1873
0.2414 0.6666 0.5615
0.7423 0.3299 0.0651
0.2479 0.6874 0.3088
0.7585 0.8334 0.4384
0.2415 0.1666 0.4384
0.2481 0.1872 0.6911
0.7519 0.8128 0.6911
0.7521 0.3126 0.3088
0.7375 0.3198 0.8078
0.7421 0.8299 0.9347
0.2625 0.6802 0.8078
0.2627 0.1803 0.1921
0.2577 0.6701 0.0651
0.7586 0.3334 0.5615
0.2579 0.1701 0.9347
0.7373 0.8197 0.1921
0.5000 0.0000 0.0572
0.0000 0.0000 0.5710
0.0000 0.5000 0.4290
0.5000 0.5000 0.9427
```

Computed properties:
- Formation energy from raw total energies: -2152.9 meV/atom
- ρ: 8.05 g/cm3


Compound: YVW2O8
Source: Alexandria
Functional: GGA-PBEsol
Structure: optimized geometry

Cell and atoms, written as POSCAR:
```
YVW2O8
1.0
-2.2823 4.5091 -0.3200
-4.5342 -2.4472 -2.1442
-3.2670 -1.8045 8.9681
O W Y V
16 4 2 2
direct
0.6307 0.6196 0.3782
0.9218 0.1243 0.1278
0.5812 0.6495 0.8604
0.4188 0.3505 0.1396
0.5716 0.1186 0.9061
0.0716 0.8814 0.4061
0.5782 0.1243 0.3722
0.3693 0.3804 0.6218
0.0812 0.3505 0.3604
0.8693 0.6196 0.1218
0.4284 0.8814 0.0939
0.4218 0.8757 0.6278
0.1307 0.3804 0.8782
0.9188 0.6495 0.6396
0.0782 0.8757 0.8722
0.9284 0.1186 0.5939
0.2768 0.1386 0.4918
0.7768 0.8614 0.9918
0.7232 0.8614 0.5082
0.2232 0.1386 0.0082
0.7500 0.3328 0.7500
0.2500 0.6672 0.2500
0.7500 0.3524 0.2500
0.2500 0.6476 0.7500
```

Computed properties:
- Formation energy from raw total energies: -2409.7 meV/atom
- ρ: 7.71 g/cm3